VASP calculation (PBE with a Hubbard U) on a relaxed Ti2CrO5 crystal.

abc: 10.307 5.197 7.067
angles: 90.00 109.22 90.00
Space group C2/c (No. 15)
Unique sites:
Ti (0.134, 0.017, 0.220)
Cr (0.000, 0.500, 0.000)
O (0.000, 0.292, 0.250)
O (0.083, 0.146, 0.943)
O (0.204, 0.312, 0.670)

Properties
- Raw total energy: -8.68 eV/atom